First-principles (PBE) data for an optimized crystal structure of ThAlOs2C, as listed in Alexandria via LeMat-Bulk.

Cell: 6.0216 6.0216 7.2174 Å, 90.00 90.00 140.16°
With the nearest neighbours (Å) after each atom.
Atoms (fractional coordinates):
Th 0.0583 0.9417 0.7500  4 C 2.81
Th 0.9417 0.0583 0.2500  4 C 2.81
Al 0.2247 0.7753 0.2500  6 Os 2.56-2.58
Al 0.7753 0.2247 0.7500  6 Os 2.56-2.58
Os 0.3369 0.6631 0.5606  1 C 1.90
Os 0.3369 0.6631 0.9394  1 C 1.90
Os 0.6631 0.3369 0.0606  1 C 1.90
Os 0.6631 0.3369 0.4394  1 C 1.90
C 0.5000 0.5000 0.0000  2 Os 1.90
C 0.5000 0.5000 0.5000  2 Os 1.90

Properties
D(E_F) (states/eV/atom): 0.70
Symmetry: Cmcm
Magnetization (μB per formula unit): 0.0
Energy (eV per atom): -8.947
Volume (Å³ per atom): 16.8